Density functional theory data (PBE with a Hubbard U) for crystalline W2O3 at its relaxed geometry.

Results
Calculated volume: 13.52 Å³/atom
Total magnetization: 2.02 μB/f.u.
E: -138.5 eV/cell

Lattice parameters (Å, degrees): 5.2330 5.2330 16.1103 90.00 90.00 142.20
Positions (direct):
W 0.0884 0.9116 0.6378
W 0.0884 0.9116 0.8622
W 0.3385 0.6615 0.5359
W 0.3385 0.6615 0.9641
W 0.6615 0.3385 0.0359
W 0.6615 0.3385 0.4641
W 0.9116 0.0884 0.1378
W 0.9116 0.0884 0.3622
O 0.0000 0.0000 0.0000
O 0.0000 0.0000 0.5000
O 0.1703 0.8297 0.7500
O 0.2666 0.7334 0.0938
O 0.2666 0.7334 0.4062
O 0.4637 0.5363 0.6383
O 0.4637 0.5363 0.8617
O 0.5363 0.4637 0.1383
O 0.5363 0.4637 0.3617
O 0.7334 0.2666 0.5938
O 0.7334 0.2666 0.9062
O 0.8297 0.1703 0.2500